[1]
Entry from Alexandria via LeMat-Bulk: a geometry-optimized Ce2Sn3Au6 structure (PBE).

Geometry as CIF:
```
data_Ce2Sn3Au6
_chemical_formula_sum 'Ce4 Sn6 Au12'
_cell_length_a 9.526
_cell_length_b 13.892
_cell_length_c 3.962
_cell_angle_alpha 90.00
_cell_angle_beta 90.00
_cell_angle_gamma 90.00
_symmetry_space_group_name_H-M 'C m m m'
_symmetry_Int_Tables_number 65
_symmetry_space_group_name_Hall '-C 2 2'
loop_
_atom_site_label
_atom_site_type_symbol
_atom_site_fract_x
_atom_site_fract_y
_atom_site_fract_z
_atom_site_occupancy
Ce1 Ce 0.213 0.000 0.000 1
Sn1 Sn 0.000 0.255 0.000 1
Sn2 Sn 0.000 0.500 0.500 1
Au1 Au 0.000 0.104 0.500 1
Au2 Au 0.200 0.342 0.500 1
```

Output
E_form (meV per atom): -414

[2]
Entry from Alexandria via LeMat-Bulk: a geometry-optimized KZr2Tl structure (PBE).

Geometry as CIF:
```
data_KZr2Tl
_chemical_formula_sum 'K1 Zr2 Tl1'
_cell_length_a 3.896
_cell_length_b 3.896
_cell_length_c 8.676
_cell_angle_alpha 90.00
_cell_angle_beta 90.00
_cell_angle_gamma 90.00
_symmetry_space_group_name_H-M 'P 4/m m m'
_symmetry_Int_Tables_number 123
_symmetry_space_group_name_Hall '-P 4 2'
loop_
_atom_site_label
_atom_site_type_symbol
_atom_site_fract_x
_atom_site_fract_y
_atom_site_fract_z
_atom_site_occupancy
K1 K 0.000 0.000 0.000 1
Zr1 Zr 0.500 0.500 0.348 1
Tl1 Tl 0.000 0.000 0.500 1
```

Output
E_form (meV per atom): 589

[3]
Entry from Alexandria via LeMat-Bulk: a geometry-optimized KNa2TiCl6 structure (PBE).

Geometry as CIF:
```
data_KNa2TiCl6
_chemical_formula_sum 'K3 Na6 Ti3 Cl18'
_cell_length_a 7.0396
_cell_length_b 7.0396
_cell_length_c 19.0596
_cell_angle_alpha 90.00
_cell_angle_beta 90.00
_cell_angle_gamma 120.00
_symmetry_space_group_name_H-M 'R 3'
_symmetry_Int_Tables_number 146
_symmetry_space_group_name_Hall 'R 3'
loop_
_atom_site_label
_atom_site_type_symbol
_atom_site_fract_x
_atom_site_fract_y
_atom_site_fract_z
_atom_site_occupancy
K1 K 0.0000 0.0000 0.0000 1
Na1 Na 0.0000 0.0000 0.1974 1
Na2 Na 0.0000 0.0000 0.7115 1
Ti1 Ti 0.0000 0.0000 0.5150 1
Cl1 Cl 0.0456 0.3703 0.1115 1
Cl2 Cl 0.0717 0.6908 0.2613 1
```

Output
ΔE_f (raw) (eV/f.u.): -17.30

[4]
Entry from Alexandria via LeMat-Bulk: a geometry-optimized Tl5Pd2I12 structure (PBE).

Geometry as CIF:
```
data_Tl5Pd2I12
_chemical_formula_sum 'Tl10 Pd4 I24'
_cell_length_a 17.690
_cell_length_b 8.475
_cell_length_c 9.697
_cell_angle_alpha 90.00
_cell_angle_beta 91.03
_cell_angle_gamma 90.00
_symmetry_space_group_name_H-M 'C 1 2/m 1'
_symmetry_Int_Tables_number 12
_symmetry_space_group_name_Hall '-C 2y'
loop_
_atom_site_label
_atom_site_type_symbol
_atom_site_fract_x
_atom_site_fract_y
_atom_site_fract_z
_atom_site_occupancy
Tl1 Tl 0.000 0.000 0.000 1
Tl2 Tl 0.245 0.500 0.781 1
Tl3 Tl 0.247 0.000 0.781 1
Pd1 Pd 0.000 0.261 0.500 1
I1 I 0.002 0.000 0.676 1
I2 I 0.003 0.500 0.691 1
I3 I 0.138 0.254 0.000 1
I4 I 0.160 0.254 0.499 1
```

Output
ΔE_f (raw) (eV/f.u.): -6.76

[5]
Entry from Alexandria via LeMat-Bulk: a geometry-optimized K2IrBr structure (PBE).

Geometry as CIF:
```
data_K2IrBr
_chemical_formula_sum 'K8 Ir4 Br4'
_cell_length_a 8.134
_cell_length_b 8.134
_cell_length_c 8.134
_cell_angle_alpha 90.00
_cell_angle_beta 90.00
_cell_angle_gamma 90.00
_symmetry_space_group_name_H-M 'F m -3 m'
_symmetry_Int_Tables_number 225
_symmetry_space_group_name_Hall '-F 4 2 3'
loop_
_atom_site_label
_atom_site_type_symbol
_atom_site_fract_x
_atom_site_fract_y
_atom_site_fract_z
_atom_site_occupancy
K1 K 0.250 0.250 0.250 1
Ir1 Ir 0.000 0.000 0.000 1
Br1 Br 0.000 0.000 0.500 1
```

Output
ΔE_f (raw) (eV/f.u.): 0.77

[6]
Entry from Alexandria via LeMat-Bulk: a geometry-optimized Y3MnTe structure (PBE).

Geometry as CIF:
```
data_Y3MnTe
_chemical_formula_sum 'Y6 Mn2 Te2'
_cell_length_a 8.368
_cell_length_b 3.932
_cell_length_c 8.461
_cell_angle_alpha 90.00
_cell_angle_beta 108.27
_cell_angle_gamma 90.00
_symmetry_space_group_name_H-M 'P 1 21/m 1'
_symmetry_Int_Tables_number 11
_symmetry_space_group_name_Hall '-P 2yb'
loop_
_atom_site_label
_atom_site_type_symbol
_atom_site_fract_x
_atom_site_fract_y
_atom_site_fract_z
_atom_site_occupancy
Y1 Y 0.073 0.250 0.236 1
Y2 Y 0.308 0.250 0.922 1
Y3 Y 0.322 0.750 0.587 1
Mn1 Mn 0.046 0.250 0.555 1
Te1 Te 0.381 0.750 0.230 1
```

Output
ΔE_f (raw) (eV/f.u.): -2.57

What did we get for volume? Answer: 524 132 818 1454 538 264 Å³ per cell, in the order shown.